Compound: Li2ScTe
Source: the Alexandria database
Functional: PBEsol
Structure: relaxed

Values from the calculation:
- Formation energy from raw total energies: -0.517 eV/atom
- Theoretical density: 3.50 g/cm³
- DFT total energy: -4.03 eV/atom

Cell and atoms, written as CIF:
```
data_Li2ScTe
_cell_length_a 3.8744
_cell_length_b 3.8159
_cell_length_c 11.9822
_cell_angle_alpha 90.00
_cell_angle_beta 90.00
_cell_angle_gamma 90.00
_space_group_name_H-M_alt 'A m m 2'
_space_group_IT_number 38
loop_
_space_group_symop_operation_xyz
'x,y,z'
'-x,-y,z'
'-x,y,z'
'x,-y,z'
'x,y+1/2,z+1/2'
'-x,-y+1/2,z+1/2'
'-x,y+1/2,z+1/2'
'x,-y+1/2,z+1/2'
loop_
_atom_site_label
_atom_site_type_symbol
_atom_site_fract_x
_atom_site_fract_y
_atom_site_fract_z
Li1 Li 0.0000 0.0000 0.0000
Li2 Li 0.5000 0.0000 0.4052
Sc1 Sc 0.5000 0.0000 0.6621
Te1 Te 0.0000 0.0000 0.2455
```